# 1
Here is a relaxed SrCrAs2 crystal from the Alexandria database. Energies are from PBE.

Values from the calculation:
The total magnetization is 3.67 μB/cell. The value obtained for the formation energy is -0.06 eV/atom.

a = 5.8949 Å, b = 5.8949 Å, c = 5.8949 Å
α = 138.37°, β = 138.37°, γ = 60.34°
Last column: magnetic moment on the atom in μB.
Atoms (fractional coordinates):
Sr (0.7500, 0.2500, 0.5000)  0.00
As (0.2500, 0.7500, 0.5000)  -0.12
As (0.0000, 0.0000, 0.0000)  -0.15
Cr (0.5000, 0.5000, 0.0000)  3.72

---

# 2
Here is a relaxed SrCrAs crystal from the Alexandria database. Energies are from PBE.

Values from the calculation:
The total magnetization is 5.00 μB/cell. The value obtained for the formation energy is 0.44 eV/atom.

a = 5.0307 Å, b = 5.0307 Å, c = 5.0307 Å
α = 60.00°, β = 60.00°, γ = 60.00°
Last column: magnetic moment on the atom in μB.
Atoms (fractional coordinates):
Cr (0.5000, 0.5000, 0.5000)  4.25
Sr (0.7500, 0.7500, 0.7500)  0.10
As (0.0000, 0.0000, 0.0000)  -0.12

---

# 3
Here is a relaxed SrCrAs crystal from the Alexandria database. Energies are from PBE.

Values from the calculation:
The total magnetization is 4.67 μB/cell. The value obtained for the formation energy is -0.38 eV/atom.

a = 4.4247 Å, b = 4.4247 Å, c = 4.5475 Å
α = 90.00°, β = 90.00°, γ = 120.00°
Last column: magnetic moment on the atom in μB.
Atoms (fractional coordinates):
Sr (0.3333, 0.6667, 0.6667)  0.09
As (0.0000, 0.0000, 0.1666)  -0.07
Cr (0.6667, 0.3333, 0.1667)  3.77

---

# 4
Here is a relaxed SrCrAs2 crystal from the Alexandria database. Energies are from PBE.

Values from the calculation:
The total magnetization is 0.00 μB/cell. The value obtained for the formation energy is -0.29 eV/atom.

a = 5.4304 Å, b = 5.4304 Å, c = 8.2046 Å
α = 70.67°, β = 70.67°, γ = 90.00°
Atoms (fractional coordinates):
Cr (0.2500, 0.7500, 0.5000)
Cr (0.5000, 0.5000, 0.0000)
Sr (0.7500, 0.2500, 0.5000)
Sr (0.0000, 0.0000, 0.0000)
As (0.3768, 0.1250, 0.2500)
As (0.3750, 0.6232, 0.7500)
As (0.8750, 0.6268, 0.7500)
As (0.3732, 0.6250, 0.2500)

---

# 5
Here is a relaxed SrCr2As crystal from the Alexandria database. Energies are from PBE.

Values from the calculation:
The total magnetization is 0.58 μB/cell. The value obtained for the formation energy is 0.14 eV/atom.

a = 3.4072 Å, b = 3.4072 Å, c = 7.1103 Å
α = 90.00°, β = 90.00°, γ = 90.00°
Last column: magnetic moment on the atom in μB.
Atoms (fractional coordinates):
Cr (0.0000, 0.0000, 0.0121)  -2.97
Cr (0.5000, 0.5000, 0.1642)  2.99
As (0.5000, 0.5000, 0.8127)  0.09
Sr (0.0000, 0.0000, 0.5110)  0.06

---

# 6
Here is a relaxed SrCrAs2 crystal from the Alexandria database. Energies are from PBE.

Values from the calculation:
The total magnetization is 2.35 μB/cell. The value obtained for the formation energy is -0.32 eV/atom.

a = 7.5093 Å, b = 7.5093 Å, c = 7.5093 Å
α = 152.85°, β = 152.10°, γ = 39.32°
Last column: magnetic moment on the atom in μB.
Atoms (fractional coordinates):
Cr (0.5469, 0.5469, 0.0000)  2.69
As (0.9817, 0.9817, 0.0000)  -0.19
As (0.6713, 0.1713, 0.5000)  -0.15
Sr (0.3001, 0.8001, 0.5000)  -0.02

---

# 7
Here is a relaxed SrCrAs2 crystal from the Alexandria database. Energies are from PBE.

Values from the calculation:
The total magnetization is 4.00 μB/cell. The value obtained for the formation energy is -0.28 eV/atom.

a = 6.1967 Å, b = 6.1967 Å, c = 4.4371 Å
α = 79.22°, β = 79.22°, γ = 38.96°
Last column: magnetic moment on the atom in μB.
Atoms (fractional coordinates):
As (0.8137, 0.8137, 0.7403)  -0.03
As (0.0125, 0.0125, 0.8747)  -0.10
Cr (0.4558, 0.4558, 0.6166)  3.56
Sr (0.2179, 0.2179, 0.2683)  0.03

---

# 8
Here is a relaxed SrCrAs3 crystal from the Alexandria database. Energies are from PBE.

Values from the calculation:
The total magnetization is 0.61 μB/cell. The value obtained for the formation energy is 1.79 eV/atom.

a = 5.4551 Å, b = 5.4551 Å, c = 5.4551 Å
α = 90.00°, β = 90.00°, γ = 90.00°
Last column: magnetic moment on the atom in μB.
Atoms (fractional coordinates):
Sr (0.0000, 0.0000, 0.0000)  0.01
As (0.5000, 0.0000, 0.0000)  0.01
As (0.0000, 0.0000, 0.5000)  0.05
As (0.0000, 0.5000, 0.0000)  0.04
Cr (0.5000, 0.5000, 0.5000)  -0.71

---

# 9
Here is a relaxed SrCrAs2 crystal from the Alexandria database. Energies are from PBE.

Values from the calculation:
The total magnetization is 2.52 μB/cell. The value obtained for the formation energy is -0.54 eV/atom.

a = 6.8693 Å, b = 6.8693 Å, c = 6.8693 Å
α = 33.98°, β = 33.98°, γ = 33.98°
Last column: magnetic moment on the atom in μB.
Atoms (fractional coordinates):
As (0.5242, 0.5242, 0.5242)  -0.15
As (0.9758, 0.9758, 0.9758)  -0.15
Sr (0.7500, 0.7500, 0.7500)  -0.03
Cr (0.2500, 0.2500, 0.2500)  2.81

---

# 10
Here is a relaxed SrCr2As crystal from the Alexandria database. Energies are from PBE.

Values from the calculation:
The total magnetization is 0.64 μB/cell. The value obtained for the formation energy is 0.02 eV/atom.

a = 4.0598 Å, b = 3.4100 Å, c = 6.3438 Å
α = 90.93°, β = 90.00°, γ = 90.00°
Last column: magnetic moment on the atom in μB.
Atoms (fractional coordinates):
Cr (0.5000, 0.3827, 0.0944)  -2.77
Cr (0.0000, 0.8777, 0.0592)  3.19
Sr (0.0000, 0.3655, 0.5424)  0.01
As (0.5000, 0.8741, 0.8041)  0.03

---

# 11
Here is a relaxed SrCrAs2 crystal from the Alexandria database. Energies are from PBE.

Values from the calculation:
The total magnetization is 2.54 μB/cell. The value obtained for the formation energy is -0.51 eV/atom.

a = 7.0423 Å, b = 7.0423 Å, c = 7.0423 Å
α = 32.81°, β = 32.81°, γ = 32.81°
Last column: magnetic moment on the atom in μB.
Atoms (fractional coordinates):
Cr (0.5799, 0.5799, 0.5799)  2.78
Sr (0.7538, 0.7538, 0.7538)  -0.01
As (0.9756, 0.9756, 0.9756)  -0.14
As (0.1907, 0.1907, 0.1907)  -0.14

---

# 12
Here is a relaxed SrCr2As crystal from the Alexandria database. Energies are from PBE.

Values from the calculation:
The total magnetization is 7.33 μB/cell. The value obtained for the formation energy is 0.28 eV/atom.

a = 6.4037 Å, b = 6.4037 Å, c = 6.4037 Å
α = 39.07°, β = 39.07°, γ = 39.07°
Last column: magnetic moment on the atom in μB.
Atoms (fractional coordinates):
Cr (0.0481, 0.0481, 0.0481)  3.17
Cr (0.4519, 0.4519, 0.4519)  3.17
Sr (0.2500, 0.2500, 0.2500)  0.08
As (0.7500, 0.7500, 0.7500)  -0.09

---

In the order shown, the computed DFT total energy values come out to -20.8, -14.6, -17.1, -43.5, -25.0, -21.9, -21.7, -16.3, -22.8, -25.5, -22.6, -24.5 eV/cell.